Nd2BiO5 PBE-GGA optimized geometry; V = 15.5 Å³ per atom; space-group type = P2_1/c; E_form (uncorrected) = -2.470 eV/atom; energy = -0.5326 Ry per atom
1.0
9.7088 0.0000 0.0000
0.0000 7.6228 0.0000
-2.0377 0.0000 6.6865
Nd Bi O
8 4 20
direct
0.0095 0.1266 0.2396
0.0095 0.3734 0.7396
0.3482 0.1296 0.0457
0.3482 0.3704 0.5457
0.6518 0.6296 0.4543
0.6518 0.8704 0.9543
0.9905 0.6266 0.2604
0.9905 0.8734 0.7604
0.3272 0.6144 0.0592
0.3272 0.8856 0.5592
0.6728 0.1144 0.4408
0.6728 0.3856 0.9408
0.0995 0.6204 0.9769
0.0995 0.8796 0.4769
0.1026 0.1233 0.9460
0.1026 0.3767 0.4460
0.2827 0.1059 0.3495
0.2827 0.3941 0.8495
0.2955 0.6526 0.3642
0.2955 0.8474 0.8642
0.4679 0.1122 0.7625
0.4679 0.3878 0.2625
0.5321 0.6122 0.7375
0.5321 0.8878 0.2375
0.7045 0.1526 0.1358
0.7045 0.3474 0.6358
0.7173 0.6059 0.1505
0.7173 0.8941 0.6505
0.8974 0.6233 0.5540
0.8974 0.8767 0.0540
0.9005 0.1204 0.5231
0.9005 0.3796 0.0231

=====

Nd3BiO6 PBE-GGA optimized geometry; V = 16.5 Å³ per atom; space-group type = Cmc2_1; ΔE to the lowest computed polymorph = 21 meV/atom; E_form (uncorrected) = -2.790 eV/atom; energy = -0.5574 Ry per atom
1.0
4.6680 -5.8810 0.0000
4.6680 5.8810 0.0000
0.0000 0.0000 5.9977
Nd Bi O
6 2 12
direct
0.1002 0.8998 0.5000
0.1974 0.4105 0.4511
0.4105 0.1974 0.9511
0.5895 0.8026 0.4511
0.8026 0.5895 0.9511
0.8998 0.1002 0.0000
0.3257 0.6743 0.9342
0.6743 0.3257 0.4342
0.0737 0.6001 0.7402
0.1460 0.1778 0.7292
0.1778 0.1460 0.2292
0.2775 0.7225 0.3226
0.3999 0.9263 0.7402
0.4796 0.5204 0.6932
0.5204 0.4796 0.1932
0.6001 0.0737 0.2402
0.7225 0.2775 0.8226
0.8222 0.8540 0.7292
0.8540 0.8222 0.2292
0.9263 0.3999 0.2402

=====

Nd2BiO PBE-GGA optimized geometry; V = 23.9 Å³ per atom; space-group type = R-3m; ΔE to the lowest computed polymorph = 284 meV/atom; E_form (uncorrected) = -1.602 eV/atom; energy = -0.4554 Ry per atom
1.0
1.8943 1.0937 7.6921
-1.8943 1.0937 7.6921
0.0000 -2.1874 7.6921
Nd Bi O
2 1 1
direct
0.2236 0.2236 0.2236
0.7764 0.7764 0.7764
0.0000 0.0000 0.0000
0.5000 0.5000 0.5000

=====

Nd3Bi5O12 PBE-GGA optimized geometry; V = 17.2 Å³ per atom; space-group type = Ia-3d; E_form (uncorrected) = -1.864 eV/atom; energy = -0.4795 Ry per atom
1.0
-7.0095 7.0095 7.0095
7.0095 -7.0095 7.0095
7.0095 7.0095 -7.0095
Nd Bi O
12 20 48
direct
0.1250 0.2500 0.3750
0.1250 0.3750 0.7500
0.2500 0.3750 0.1250
0.2500 0.8750 0.6250
0.3750 0.1250 0.2500
0.3750 0.7500 0.1250
0.6250 0.2500 0.8750
0.6250 0.8750 0.7500
0.7500 0.1250 0.3750
0.7500 0.6250 0.8750
0.8750 0.6250 0.2500
0.8750 0.7500 0.6250
0.0000 0.0000 0.0000
0.0000 0.0000 0.5000
0.0000 0.5000 0.0000
0.0000 0.5000 0.5000
0.1250 0.7500 0.8750
0.1250 0.8750 0.2500
0.2500 0.1250 0.8750
0.2500 0.6250 0.3750
0.3750 0.2500 0.6250
0.3750 0.6250 0.7500
0.5000 0.0000 0.0000
0.5000 0.0000 0.5000
0.5000 0.5000 0.0000
0.5000 0.5000 0.5000
0.6250 0.3750 0.2500
0.6250 0.7500 0.3750
0.7500 0.3750 0.6250
0.7500 0.8750 0.1250
0.8750 0.1250 0.7500
0.8750 0.2500 0.1250
0.0510 0.2238 0.1355
0.0510 0.3272 0.9155
0.0845 0.6355 0.4117
0.0845 0.9490 0.6728
0.0883 0.7238 0.6728
0.0883 0.8645 0.4155
0.1355 0.0510 0.2238
0.1355 0.5845 0.9117
0.1728 0.2238 0.5883
0.1728 0.4490 0.5845
0.2238 0.1355 0.0510
0.2238 0.5883 0.1728
0.2762 0.3272 0.9117
0.2762 0.4490 0.3645
0.3272 0.9117 0.2762
0.3272 0.9155 0.0510
0.3645 0.2762 0.4490
0.3645 0.5883 0.9155
0.4117 0.0845 0.6355
0.4117 0.8272 0.7762
0.4155 0.0883 0.8645
0.4155 0.8272 0.5510
0.4490 0.3645 0.2762
0.4490 0.5845 0.1728
0.5510 0.4155 0.8272
0.5510 0.6355 0.7238
0.5845 0.1728 0.4490
0.5845 0.9117 0.1355
0.5883 0.1728 0.2238
0.5883 0.9155 0.3645
0.6355 0.4117 0.0845
0.6355 0.7238 0.5510
0.6728 0.0845 0.9490
0.6728 0.0883 0.7238
0.7238 0.5510 0.6355
0.7238 0.6728 0.0883
0.7762 0.4117 0.8272
0.7762 0.8645 0.9490
0.8272 0.5510 0.4155
0.8272 0.7762 0.4117
0.8645 0.4155 0.0883
0.8645 0.9490 0.7762
0.9117 0.1355 0.5845
0.9117 0.2762 0.3272
0.9155 0.0510 0.3272
0.9155 0.3645 0.5883
0.9490 0.6728 0.0845
0.9490 0.7762 0.8645

=====

Nd6BiO12 PBE-GGA optimized geometry; V = 16.0 Å³ per atom; space-group type = R-3; E_form (uncorrected) = -2.851 eV/atom; energy = -0.5653 Ry per atom
1.0
5.1759 2.9883 3.2709
-5.1759 2.9883 3.2709
0.0000 -5.9766 3.2709
Nd Bi O
6 1 12
direct
0.1095 0.6408 0.8023
0.1977 0.8905 0.3592
0.3592 0.1977 0.8905
0.6408 0.8023 0.1095
0.8023 0.1095 0.6408
0.8905 0.3592 0.1977
0.5000 0.5000 0.5000
0.0611 0.3224 0.9121
0.0879 0.9389 0.6776
0.1912 0.5467 0.4335
0.3224 0.9121 0.0611
0.4335 0.1912 0.5467
0.4533 0.5665 0.8088
0.5467 0.4335 0.1912
0.5665 0.8088 0.4533
0.6776 0.0879 0.9389
0.8088 0.4533 0.5665
0.9121 0.0611 0.3224
0.9389 0.6776 0.0879

=====

NdBiO4 PBE-GGA optimized geometry; V = 14.9 Å³ per atom; space-group type = P2_1/c; E_form (uncorrected) = -1.955 eV/atom; energy = -0.4925 Ry per atom
1.0
7.9625 0.0000 0.0000
0.0000 5.6655 0.0000
-1.0526 0.0000 7.9289
Nd Bi O
4 4 16
direct
0.1371 0.2310 0.3910
0.1371 0.2690 0.8910
0.8629 0.7310 0.1090
0.8629 0.7690 0.6090
0.3386 0.7281 0.1847
0.3386 0.7719 0.6847
0.6614 0.2281 0.3153
0.6614 0.2719 0.8153
0.1131 0.5083 0.1663
0.1131 0.9917 0.6663
0.1598 0.5025 0.6191
0.1598 0.9975 0.1191
0.3271 0.6077 0.9292
0.3271 0.8923 0.4292
0.4222 0.1006 0.8145
0.4222 0.3994 0.3145
0.5778 0.6006 0.6855
0.5778 0.8994 0.1855
0.6729 0.1077 0.5708
0.6729 0.3923 0.0707
0.8402 0.0025 0.8809
0.8402 0.4975 0.3809
0.8869 0.0083 0.3337
0.8869 0.4917 0.8337

=====

Nd2BiO PBE-GGA optimized geometry; V = 22.3 Å³ per atom; space-group type = P4/mmm; ΔE to the lowest computed polymorph = 721 meV/atom; E_form (uncorrected) = -1.165 eV/atom; energy = -0.4233 Ry per atom
1.0
3.3403 0.0000 0.0000
0.0000 3.3403 0.0000
0.0000 0.0000 8.0052
Nd Bi O
2 1 1
direct
0.0000 0.0000 0.1977
0.0000 0.0000 0.8023
0.5000 0.5000 0.5000
0.5000 0.5000 0.0000

=====

NdBiO PBE-GGA optimized geometry; V = 24.7 Å³ per atom; space-group type = P-3m1; E_form (uncorrected) = -1.833 eV/atom; energy = -0.4681 Ry per atom
1.0
3.9775 0.0000 0.0000
-1.9887 3.4446 0.0000
0.0000 0.0000 10.8229
Nd Bi O
2 2 2
direct
0.3333 0.6667 0.3614
0.6667 0.3333 0.6386
0.3333 0.6667 0.8984
0.6667 0.3333 0.1016
0.3333 0.6667 0.5838
0.6667 0.3333 0.4162

=====

Nd3BiO PBE-GGA optimized geometry; V = 25.1 Å³ per atom; space-group type = Pm-3m; E_form (uncorrected) = -1.381 eV/atom; energy = -0.4417 Ry per atom
1.0
5.0079 0.0000 0.0000
0.0000 5.0079 0.0000
0.0000 0.0000 5.0079
Nd Bi O
3 1 1
direct
0.0000 0.0000 0.5000
0.0000 0.5000 0.0000
0.5000 0.0000 0.0000
0.5000 0.5000 0.5000
0.0000 0.0000 0.0000